# CrAg2F8

A relaxed CrAg2F8 crystal (PBE with a Hubbard U, the Alexandria database).

Cell lengths 4.304, 6.082, 6.371 Å; angles 68.97, 89.44, 89.93 degrees
Space group P-1 (No. 2)
One atom of each set of equivalent atoms:
Cr (0.000, 0.000, 0.000) (multiplicity 1)
Ag (0.228, 0.359, 0.383) (multiplicity 2)
F (0.232, 0.087, 0.732) (multiplicity 2)
F (0.235, 0.735, 0.120) (multiplicity 2)
F (0.246, 0.169, 0.117) (multiplicity 2)
F (0.272, 0.631, 0.611) (multiplicity 2)

Computed properties:
Raw total energy = -45.54 eV per cell